A relaxed Rb2HfAs crystal. Source: the Alexandria database, functional PBE.

The calculation puts the distance to the lowest polymorph of the same formula at 0 kJ/mol of formula units. Its space group is I-42d, No. 122. Its calculated total energy is -15.5 eV/f.u. The calculation puts the energy of formation at 271 meV/atom. The value obtained for the density of states at the Fermi level is 3.35 states/eV per cell.

Lattice parameters (Å, degrees): 13.1991 13.1991 9.6815 47.03 47.03 90.00
Site moments in Bohr magnetons follow the coordinates.
Sites, in units of the cell vectors:
Rb 0.2925 0.6250 0.2500  0.01
As 0.5000 0.5000 0.0000  -0.02
Rb 0.8750 0.7075 0.7500  0.01
Rb 0.4575 0.1250 0.2500  0.01
Hf 0.0000 0.0000 0.0000  0.47
Rb 0.3750 0.5425 0.7500  0.01
Hf 0.7500 0.2500 0.5000  0.48
As 0.2500 0.7500 0.5000  -0.02

A relaxed CoPdRu crystal. Source: the Alexandria database, functional PBE.

The calculation puts the distance to the lowest polymorph of the same formula at 7 kJ/mol of formula units. Its space group is Pm, No. 6. Its calculated total energy is -21.1 eV/f.u. The calculation puts the energy of formation at 166 meV/atom. The value obtained for the density of states at the Fermi level is 7.94 states/eV per cell.

Lattice parameters (Å, degrees): 4.6164 2.6941 6.7197 90.00 103.45 90.00
Site moments in Bohr magnetons follow the coordinates.
Sites, in units of the cell vectors:
Ru 0.7987 0.0000 0.9216  0.18
Pd 0.0256 0.0000 0.5794  0.08
Co 0.5665 0.0000 0.2272  1.63
Pd 0.5226 0.5000 0.5679  0.12
Ru 0.0698 0.5000 0.2309  0.13
Co 0.3112 0.5000 0.9266  1.59

A relaxed Sb3SeO crystal. Source: the Alexandria database, functional PBE.

The calculation puts the distance to the lowest polymorph of the same formula at 0 kJ/mol of formula units. Its space group is Pm-3m, No. 221. Its calculated total energy is -19.9 eV/f.u. Its formation energy from raw total energies is 18 kJ/mol of atoms. The value obtained for the density of states at the Fermi level is 4.76 states/eV per cell.

Lattice parameters (Å, degrees): 4.8299 4.8299 4.8299 90.00 90.00 90.00
Sites, in units of the cell vectors:
Se 0.5000 0.5000 0.5000
Sb 0.0000 0.5000 0.0000
Sb 0.0000 0.0000 0.5000
Sb 0.5000 0.0000 0.0000
O 0.0000 0.0000 0.0000

A relaxed SiSnSbI2 crystal. Source: the Alexandria database, functional PBE.

The calculation puts the distance to the lowest polymorph of the same formula at 0 kJ/mol of formula units. Its space group is P4/mmm, No. 123. Its calculated total energy is -14.7 eV/f.u. Its formation energy from raw total energies is 37 kJ/mol of atoms. The value obtained for the density of states at the Fermi level is 3.44 states/eV per cell.

Lattice parameters (Å, degrees): 5.4386 5.4386 5.5790 90.00 90.00 90.00
Sites, in units of the cell vectors:
Si 0.0000 0.0000 0.0000
Sb 0.0000 0.0000 0.5000
I 0.5000 0.0000 0.0000
Sn 0.5000 0.5000 0.5000
I 0.0000 0.5000 0.0000

> The highest distance to the lowest polymorph of the same formula belongs to which entry?

CoPdRu